# 1
Material: CaFe2Ir
Method: DFT, PBE-GGA
State: relaxed

Unit cell a=4.9357 b=4.9357 c=5.0630 alpha=73.12 beta=73.12 gamma=34.30
Element x y z (fractional)
Fe 0.7431 0.7431 0.7399
Ca 0.2487 0.2487 0.2436
Ir 0.4719 0.4719 0.5823
Fe 0.0363 0.0363 0.9342

- energy (eV per atom) = -6.6869


# 2
Material: PaTaGe
Method: DFT, PBE-GGA
State: relaxed

Unit cell a=4.0955 b=4.0955 c=8.1076 alpha=104.63 beta=104.63 gamma=90.00
Element x y z (fractional)
Pa 0.3294 0.3294 0.6588
Ta 0.5000 0.0000 0.0000
Pa 0.6706 0.6706 0.3412
Ge 0.8721 0.8721 0.7442
Ge 0.1279 0.1279 0.2558
Ta 0.0000 0.5000 0.0000

- energy (eV per atom) = -8.9785
- relative energy among the computed polymorphs (kJ per mole of atoms) = 0.0


# 3
Material: K8Rb3Cd2
Method: DFT, PBE-GGA
State: relaxed

Unit cell a=6.7258 b=9.6120 c=13.3064 alpha=78.72 beta=89.94 gamma=89.97
Element x y z (fractional)
Rb 0.0002 0.7251 0.9224
K 0.4991 0.0531 0.3463
K 0.5005 0.4688 0.7864
Rb 0.5000 0.0000 0.0000
Rb 0.9998 0.2749 0.0776
K 0.5009 0.9469 0.6537
K 0.4995 0.5312 0.2136
K 0.9991 0.3278 0.4163
Cd 0.5010 0.6559 0.4621
K 0.0009 0.6722 0.5837
K 0.9993 0.8007 0.2724
K 0.0007 0.1993 0.7276
Cd 0.4990 0.3441 0.5379

- energy (eV per atom) = -1.0336


# 4
Material: BaCdFe
Method: DFT, PBE-GGA
State: relaxed

Unit cell a=4.6977 b=4.6977 c=4.7478 alpha=90.00 beta=90.00 gamma=120.00
Element x y z (fractional)
Fe 0.3333 0.6667 0.5001
Ba 0.0000 0.0000 0.9999
Cd 0.6667 0.3333 0.4999

- energy (eV per atom) = -3.3991


# 5
Material: Mg3Zn3Ag5
Method: DFT, PBE-GGA
State: relaxed

Unit cell a=2.9317 b=9.1321 c=9.1321 alpha=120.00 beta=90.00 gamma=90.00
Element x y z (fractional)
Ag 0.5000 0.6667 0.3333
Mg 0.0000 0.5891 0.0000
Ag 0.5000 0.0000 0.3343
Ag 0.5000 0.3333 0.6667
Zn 0.5000 0.8401 0.0000
Ag 0.5000 0.3343 0.0000
Zn 0.5000 0.1599 0.1599
Mg 0.0000 0.4109 0.4109
Ag 0.5000 0.6657 0.6657
Mg 0.0000 0.0000 0.5891
Zn 0.5000 0.0000 0.8401

- energy (eV per atom) = -2.0199
- relative energy among the computed polymorphs (kJ per mole of atoms) = 0.0


# 6
Material: SrTeW2
Method: DFT, PBE-GGA
State: relaxed

Unit cell a=3.3903 b=3.3903 c=8.1428 alpha=90.00 beta=90.00 gamma=90.00
Element x y z (fractional)
W 0.0000 0.0000 0.0324
Sr 0.0000 0.0000 0.4784
W 0.5000 0.5000 0.1812
Te 0.5000 0.5000 0.8079

- energy (eV per atom) = -7.2751
- formation energy (no corrections) (eV per atom) = 0.407